NiBiO2: optimized geometry, GGA+U.

Structure (extended XYZ):
```
4
Lattice="2.091 0.000 6.056 -1.045 1.811 6.056 -1.045 -1.811 6.056" Properties=species:S:1:pos:R:3 pbc="T T T"
O 0.000 0.000 1.875
O 0.000 0.000 16.293
Ni 0.000 0.000 0.000
Bi 0.000 0.000 9.084
```

Properties
- density of states at the Fermi level (states/eV/cell) = 0.95
- magnetic moment (μB/f.u.) = 1.000
- uncorrected energy (eV per atom) = -4.72